[1]
Density functional theory data (PBE) for an optimized crystal structure of B2AuBrO.

Calculated values
- total magnetization (μB per formula unit) = 0.000
- energy relative to the elements, uncorrected (meV per atom) = 1562.4
- crystal system = tetragonal

```
data_B2AuBrO
_chemical_formula_sum 'B2 Au1 Br1 O1'
_cell_length_a 4.4696
_cell_length_b 4.4696
_cell_length_c 4.1578
_cell_angle_alpha 90.00
_cell_angle_beta 90.00
_cell_angle_gamma 90.00
_symmetry_space_group_name_H-M 'P 4/m m m'
_symmetry_Int_Tables_number 123
_symmetry_space_group_name_Hall '-P 4 2'
loop_
_atom_site_label
_atom_site_type_symbol
_atom_site_fract_x
_atom_site_fract_y
_atom_site_fract_z
B1 B 0.0000 0.5000 0.0000
Au1 Au 0.0000 0.0000 0.5000
Br1 Br 0.5000 0.5000 0.5000
O1 O 0.0000 0.0000 0.0000
```


[2]
Density functional theory data (PBE) for an optimized crystal structure of LiSn2Pb2.

Calculated values
- total magnetization (μB per formula unit) = 0.000
- relative energy among the computed polymorphs (eV per atom) = 0.167
- crystal system = tetragonal

```
data_LiSn2Pb2
_chemical_formula_sum 'Li2 Sn4 Pb4'
_cell_length_a 4.3834
_cell_length_b 4.3834
_cell_length_c 16.1799
_cell_angle_alpha 90.00
_cell_angle_beta 90.00
_cell_angle_gamma 90.00
_symmetry_space_group_name_H-M 'I 4/m m m'
_symmetry_Int_Tables_number 139
_symmetry_space_group_name_Hall '-I 4 2'
loop_
_atom_site_label
_atom_site_type_symbol
_atom_site_fract_x
_atom_site_fract_y
_atom_site_fract_z
Li1 Li 0.0000 0.0000 0.0000
Sn1 Sn 0.0000 0.5000 0.2500
Pb1 Pb 0.0000 0.0000 0.4008
```


[3]
Density functional theory data (PBE) for an optimized crystal structure of Ac2CeDy.

Calculated values
- total magnetization (μB per formula unit) = 2.767
- relative energy among the computed polymorphs (eV per atom) = 0.102
- crystal system = cubic

```
data_Ac2CeDy
_chemical_formula_sum 'Ac8 Ce4 Dy4'
_cell_length_a 8.4901
_cell_length_b 8.4901
_cell_length_c 8.4901
_cell_angle_alpha 90.00
_cell_angle_beta 90.00
_cell_angle_gamma 90.00
_symmetry_space_group_name_H-M 'F m -3 m'
_symmetry_Int_Tables_number 225
_symmetry_space_group_name_Hall '-F 4 2 3'
loop_
_atom_site_label
_atom_site_type_symbol
_atom_site_fract_x
_atom_site_fract_y
_atom_site_fract_z
Ac1 Ac 0.2500 0.2500 0.2500
Ce1 Ce 0.0000 0.0000 0.0000
Dy1 Dy 0.0000 0.0000 0.5000
```


[4]
Density functional theory data (PBE) for an optimized crystal structure of KOs3Se.

Calculated values
- total magnetization (μB per formula unit) = 0.918
- energy relative to the elements, uncorrected (meV per atom) = 1820.9
- relative energy among the computed polymorphs (eV per atom) = 0.000
- crystal system = cubic

```
data_KOs3Se
_chemical_formula_sum 'K1 Os3 Se1'
_cell_length_a 4.6661
_cell_length_b 4.6661
_cell_length_c 4.6661
_cell_angle_alpha 90.00
_cell_angle_beta 90.00
_cell_angle_gamma 90.00
_symmetry_space_group_name_H-M 'P m -3 m'
_symmetry_Int_Tables_number 221
_symmetry_space_group_name_Hall '-P 4 2 3'
loop_
_atom_site_label
_atom_site_type_symbol
_atom_site_fract_x
_atom_site_fract_y
_atom_site_fract_z
K1 K 0.0000 0.0000 0.0000
Os1 Os 0.0000 0.5000 0.5000
Se1 Se 0.5000 0.5000 0.5000
```


[5]
Density functional theory data (PBE) for an optimized crystal structure of Rb4AuI2.

Calculated values
- total magnetization (μB per formula unit) = 0.000
- energy relative to the elements, uncorrected (meV per atom) = -814.7
- relative energy among the computed polymorphs (eV per atom) = 0.073
- crystal system = tetragonal

```
data_Rb4AuI2
_chemical_formula_sum 'Rb8 Au2 I4'
_cell_length_a 6.5549
_cell_length_b 6.5549
_cell_length_c 18.9136
_cell_angle_alpha 90.00
_cell_angle_beta 90.00
_cell_angle_gamma 90.00
_symmetry_space_group_name_H-M 'I 4/m m m'
_symmetry_Int_Tables_number 139
_symmetry_space_group_name_Hall '-I 4 2'
loop_
_atom_site_label
_atom_site_type_symbol
_atom_site_fract_x
_atom_site_fract_y
_atom_site_fract_z
Rb1 Rb 0.0000 0.0000 0.1900
Rb2 Rb 0.0000 0.5000 0.0000
Au1 Au 0.0000 0.0000 0.0000
I1 I 0.0000 0.0000 0.3809
```


[6]
Density functional theory data (PBE) for an optimized crystal structure of CsCeTl2I8.

Calculated values
- total magnetization (μB per formula unit) = 0.010
- energy relative to the elements, uncorrected (meV per atom) = -933.7
- crystal system = triclinic

```
data_CsCeTl2I8
_chemical_formula_sum 'Cs1 Ce1 Tl2 I8'
_cell_length_a 6.8113
_cell_length_b 8.3246
_cell_length_c 11.2209
_cell_angle_alpha 89.92
_cell_angle_beta 89.62
_cell_angle_gamma 89.77
_symmetry_space_group_name_H-M 'P -1'
_symmetry_Int_Tables_number 2
loop_
_symmetry_equiv_pos_as_xyz
'x,y,z'
'-x,-y,-z'
loop_
_atom_site_label
_atom_site_type_symbol
_atom_site_fract_x
_atom_site_fract_y
_atom_site_fract_z
Cs1 Cs 0.0000 0.0000 0.0000
Ce1 Ce 0.0000 0.0000 0.5000
Tl1 Tl 0.4971 0.5001 0.2783
I1 I 0.2265 0.6844 0.5023
I2 I 0.2458 0.5073 0.9999
I3 I 0.2478 0.1388 0.6984
I4 I 0.2519 0.1345 0.2995
```


[7]
Density functional theory data (PBE) for an optimized crystal structure of K2ScTe2S6.

Calculated values
- total magnetization (μB per formula unit) = 0.000
- energy relative to the elements, uncorrected (meV per atom) = -691.4
- crystal system = monoclinic

```
data_K2ScTe2S6
_chemical_formula_sum 'K4 Sc2 Te4 S12'
_cell_length_a 10.5383
_cell_length_b 7.3869
_cell_length_c 8.5179
_cell_angle_alpha 90.00
_cell_angle_beta 109.01
_cell_angle_gamma 90.00
_symmetry_space_group_name_H-M 'C 1 2/m 1'
_symmetry_Int_Tables_number 12
loop_
_symmetry_equiv_pos_as_xyz
'x,y,z'
'-x,-y,-z'
'-x,y,-z'
'x,-y,z'
'x+1/2,y+1/2,z'
'-x+1/2,-y+1/2,-z'
'-x+1/2,y+1/2,-z'
'x+1/2,-y+1/2,z'
loop_
_atom_site_label
_atom_site_type_symbol
_atom_site_fract_x
_atom_site_fract_y
_atom_site_fract_z
K1 K 0.1929 0.0000 0.1177
Sc1 Sc 0.0000 0.0000 0.5000
Te1 Te 0.0830 0.5000 0.2468
S1 S 0.0464 0.2135 0.7595
S2 S 0.2452 0.0000 0.4982
```


[8]
Density functional theory data (PBE) for an optimized crystal structure of Tb6SmTm4.

Calculated values
- total magnetization (μB per formula unit) = 0.001
- relative energy among the computed polymorphs (eV per atom) = 0.000
- crystal system = orthorhombic

```
data_Tb6SmTm4
_chemical_formula_sum 'Tb24 Sm4 Tm16'
_cell_length_a 5.6739
_cell_length_b 9.6133
_cell_length_c 25.5872
_cell_angle_alpha 90.00
_cell_angle_beta 90.00
_cell_angle_gamma 90.00
_symmetry_space_group_name_H-M 'C m c m'
_symmetry_Int_Tables_number 63
_symmetry_space_group_name_Hall '-C 2c 2'
loop_
_atom_site_label
_atom_site_type_symbol
_atom_site_fract_x
_atom_site_fract_y
_atom_site_fract_z
Tb1 Tb 0.0000 0.0000 0.0000
Tb2 Tb 0.0000 0.0220 0.2500
Tb3 Tb 0.0000 0.3121 0.6016
Tb4 Tb 0.0000 0.3563 0.1808
Sm1 Sm 0.0000 0.3123 0.7500
Tm1 Tm 0.0000 0.0258 0.1218
Tm2 Tm 0.0000 0.3423 0.0426
```


[9]
Density functional theory data (PBE) for an optimized crystal structure of Ho5Hg2Pb.

Calculated values
- total magnetization (μB per formula unit) = 0.000
- energy (eV per atom) = -3.817
- crystal system = tetragonal

```
data_Ho5Hg2Pb
_chemical_formula_sum 'Ho20 Hg8 Pb4'
_cell_length_a 8.2614
_cell_length_b 8.2614
_cell_length_c 13.0645
_cell_angle_alpha 90.00
_cell_angle_beta 90.00
_cell_angle_gamma 90.00
_symmetry_space_group_name_H-M 'I 4/m c m'
_symmetry_Int_Tables_number 140
_symmetry_space_group_name_Hall '-I 4 2c'
loop_
_atom_site_label
_atom_site_type_symbol
_atom_site_fract_x
_atom_site_fract_y
_atom_site_fract_z
Ho1 Ho 0.0000 0.0000 0.0000
Ho2 Ho 0.1535 0.3465 0.1478
Hg1 Hg 0.1395 0.3605 0.5000
Pb1 Pb 0.0000 0.0000 0.2500
```


[10]
Density functional theory data (PBE) for an optimized crystal structure of TaSi2SnO8.

Calculated values
- total magnetization (μB per formula unit) = 0.000
- energy relative to the elements, uncorrected (meV per atom) = -2365.2
- crystal system = monoclinic

```
data_TaSi2SnO8
_chemical_formula_sum 'Ta2 Si4 Sn2 O16'
_cell_length_a 8.3025
_cell_length_b 5.4655
_cell_length_c 6.9584
_cell_angle_alpha 90.00
_cell_angle_beta 92.39
_cell_angle_gamma 90.00
_symmetry_space_group_name_H-M 'C 1 2/m 1'
_symmetry_Int_Tables_number 12
loop_
_symmetry_equiv_pos_as_xyz
'x,y,z'
'-x,-y,-z'
'-x,y,-z'
'x,-y,z'
'x+1/2,y+1/2,z'
'-x+1/2,-y+1/2,-z'
'-x+1/2,y+1/2,-z'
'x+1/2,-y+1/2,z'
loop_
_atom_site_label
_atom_site_type_symbol
_atom_site_fract_x
_atom_site_fract_y
_atom_site_fract_z
Ta1 Ta 0.0000 0.0000 0.0000
Si1 Si 0.1535 0.5000 0.2376
Sn1 Sn 0.0000 0.0000 0.5000
O1 O 0.0376 0.2500 0.2146
O2 O 0.2255 0.0000 0.9409
O3 O 0.2467 0.5000 0.4457
```


[11]
Density functional theory data (PBE) for an optimized crystal structure of Sb2S3I.

Calculated values
- total magnetization (μB per formula unit) = 0.000
- energy relative to the elements, uncorrected (meV per atom) = -115.5
- relative energy among the computed polymorphs (eV per atom) = 0.007
- crystal system = trigonal

```
data_Sb2S3I
_chemical_formula_sum 'Sb12 S18 I6'
_cell_length_a 7.8657
_cell_length_b 7.8657
_cell_length_c 21.6302
_cell_angle_alpha 90.00
_cell_angle_beta 90.00
_cell_angle_gamma 120.00
_symmetry_space_group_name_H-M 'R -3 m'
_symmetry_Int_Tables_number 166
_symmetry_space_group_name_Hall '-R 3 2"'
loop_
_atom_site_label
_atom_site_type_symbol
_atom_site_fract_x
_atom_site_fract_y
_atom_site_fract_z
Sb1 Sb 0.0000 0.0000 0.0000
Sb2 Sb 0.0000 0.5000 0.0000
S1 S 0.0234 0.5117 0.7339
I1 I 0.0000 0.0000 0.2358
```


[12]
Density functional theory data (PBE) for an optimized crystal structure of Pt2C.

Calculated values
- total magnetization (μB per formula unit) = 0.000
- relative energy among the computed polymorphs (eV per atom) = 0.264
- crystal system = trigonal

```
data_Pt2C
_chemical_formula_sum 'Pt6 C3'
_cell_length_a 3.0374
_cell_length_b 3.0374
_cell_length_c 14.7384
_cell_angle_alpha 90.00
_cell_angle_beta 90.00
_cell_angle_gamma 120.00
_symmetry_space_group_name_H-M 'R -3 m'
_symmetry_Int_Tables_number 166
_symmetry_space_group_name_Hall '-R 3 2"'
loop_
_atom_site_label
_atom_site_type_symbol
_atom_site_fract_x
_atom_site_fract_y
_atom_site_fract_z
Pt1 Pt 0.0000 0.0000 0.2474
C1 C 0.0000 0.0000 0.0000
```